[1]
A geometry-optimized CsLi2CdPt structure. Source: Alexandria via LeMat-Bulk, functional PBE-GGA.

Calculated density   5141 kg/m3
Formation enthalpy at 0 K   99.9 meV/atom
Total magnetization   0.00 μB/f.u.

Structure (CIF):
```
data_CsLi2CdPt
_cell_length_a 5.2677
_cell_length_b 5.2677
_cell_length_c 5.2875
_cell_angle_alpha 90.00
_cell_angle_beta 90.00
_cell_angle_gamma 90.00
_symmetry_space_group_name_H-M 'P 4/m m m'
_symmetry_Int_Tables_number 123
_symmetry_space_group_name_Hall '-P 4 2'
loop_
_atom_site_label
_atom_site_type_symbol
_atom_site_fract_x
_atom_site_fract_y
_atom_site_fract_z
_atom_site_occupancy
Cs1 Cs 0.0000 0.0000 0.0000 1
Li1 Li 0.0000 0.5000 0.5000 1
Cd1 Cd 0.5000 0.5000 0.5000 1
Pt1 Pt 0.5000 0.5000 0.0000 1
```

---

[2]
A geometry-optimized CsLi2CdPt structure. Source: Alexandria via LeMat-Bulk, functional PBE-GGA.

Calculated density   5262 kg/m3
Formation enthalpy at 0 K   -160.3 meV/atom
Total magnetization   0.00 μB/f.u.

Structure (CIF):
```
data_CsLi2CdPt
_cell_length_a 5.1454
_cell_length_b 5.1454
_cell_length_c 5.4149
_cell_angle_alpha 90.00
_cell_angle_beta 90.00
_cell_angle_gamma 90.00
_symmetry_space_group_name_H-M 'P 4/m m m'
_symmetry_Int_Tables_number 123
_symmetry_space_group_name_Hall '-P 4 2'
loop_
_atom_site_label
_atom_site_type_symbol
_atom_site_fract_x
_atom_site_fract_y
_atom_site_fract_z
_atom_site_occupancy
Cs1 Cs 0.0000 0.0000 0.0000 1
Li1 Li 0.0000 0.5000 0.5000 1
Cd1 Cd 0.5000 0.5000 0.0000 1
Pt1 Pt 0.5000 0.5000 0.5000 1
```

---

[3]
A geometry-optimized CsLiCd2Pt structure. Source: Alexandria via LeMat-Bulk, functional PBE-GGA.

Calculated density   6186 kg/m3
Formation enthalpy at 0 K   -215.5 meV/atom
Total magnetization   0.00 μB/f.u.

Structure (CIF):
```
data_CsLiCd2Pt
_cell_length_a 5.4240
_cell_length_b 5.4240
_cell_length_c 5.1073
_cell_angle_alpha 90.00
_cell_angle_beta 90.00
_cell_angle_gamma 90.00
_symmetry_space_group_name_H-M 'P 4/m m m'
_symmetry_Int_Tables_number 123
_symmetry_space_group_name_Hall '-P 4 2'
loop_
_atom_site_label
_atom_site_type_symbol
_atom_site_fract_x
_atom_site_fract_y
_atom_site_fract_z
_atom_site_occupancy
Cs1 Cs 0.0000 0.0000 0.0000 1
Li1 Li 0.5000 0.5000 0.0000 1
Cd1 Cd 0.0000 0.5000 0.5000 1
Pt1 Pt 0.5000 0.5000 0.5000 1
```

---

[4]
A geometry-optimized CsRb2LiCd structure. Source: Alexandria via LeMat-Bulk, functional PBE-GGA.

Calculated density   2240 kg/m3
Formation enthalpy at 0 K   83.3 meV/atom
Total magnetization   0.00 μB/f.u.

Structure (CIF):
```
data_CsRb2LiCd
_cell_length_a 7.3505
_cell_length_b 7.3505
_cell_length_c 5.8064
_cell_angle_alpha 90.00
_cell_angle_beta 90.00
_cell_angle_gamma 90.00
_symmetry_space_group_name_H-M 'P 4/m m m'
_symmetry_Int_Tables_number 123
_symmetry_space_group_name_Hall '-P 4 2'
loop_
_atom_site_label
_atom_site_type_symbol
_atom_site_fract_x
_atom_site_fract_y
_atom_site_fract_z
_atom_site_occupancy
Cs1 Cs 0.0000 0.0000 0.0000 1
Rb1 Rb 0.0000 0.5000 0.5000 1
Li1 Li 0.5000 0.5000 0.0000 1
Cd1 Cd 0.5000 0.5000 0.5000 1
```